Record 1
The following is a DFT calculation (PBE) of crystalline Dy2YHoSe5 at its relaxed geometry.

```
Dy2YHoSe5
1.0
5.1295 0.0000 0.0000
0.0000 5.1295 0.0000
0.0000 0.0000 10.7027
Dy Y Ho Se
2 1 1 5
direct
0.0000 0.0000 0.1602
0.0000 0.0000 0.8398
0.5000 0.5000 0.5000
0.5000 0.5000 0.0000
0.0000 0.0000 0.5000
0.0000 0.5000 0.0000
0.5000 0.0000 0.0000
0.5000 0.5000 0.2535
0.5000 0.5000 0.7465
```

Formation energy without anion corrections (eV/atom): -1.121
Space-group type: No. 123

=====

Record 2
The following is a DFT calculation (PBE) of crystalline AgHg2Bi at its relaxed geometry.

```
AgHg2Bi
1.0
3.2754 0.0000 0.0000
0.0000 3.2754 0.0000
0.0000 0.0000 9.2254
Ag Hg Bi
1 2 1
direct
0.0000 0.0000 0.0000
0.5000 0.5000 0.2143
0.5000 0.5000 0.7857
0.0000 0.0000 0.5000
```

Space-group type: No. 123
ΔE_f (meV per atom): 111

=====

Record 3
The following is a DFT calculation (PBE) of crystalline RbZrSi2Bi at its relaxed geometry.

```
RbZrSi2Bi
1.0
5.3553 0.0000 0.0000
0.0000 5.3553 0.0000
0.0000 0.0000 5.2316
Rb Zr Si Bi
1 1 2 1
direct
0.0000 0.0000 0.0000
0.0000 0.0000 0.5000
0.0000 0.5000 0.0000
0.5000 0.0000 0.0000
0.5000 0.5000 0.5000
```

Formation energy without anion corrections (eV/atom): 2.040
Space-group type: No. 123

=====

Record 4
The following is a DFT calculation (PBE) of crystalline NaSrSnPb at its relaxed geometry.

```
NaSrSnPb
1.0
5.8950 0.0000 0.0000
0.0000 5.8950 0.0000
0.0000 0.0000 7.3410
Na Sr Sn Pb
2 2 2 2
direct
0.0000 0.0000 0.0000
0.5000 0.5000 0.5000
0.0000 0.5000 0.7500
0.5000 0.0000 0.2500
0.0000 0.0000 0.5000
0.5000 0.5000 0.0000
0.0000 0.5000 0.2500
0.5000 0.0000 0.7500
```

Space-group type: No. 119
ΔE_f (meV per atom): -275
Excess energy over the best structure of this formula in the dataset (meV/atom): 47

=====

Record 5
The following is a DFT calculation (PBE) of crystalline Ca2AcAg2Pb2 at its relaxed geometry.

```
Ca2AcAg2Pb2
1.0
2.5090 1.4486 9.2380
-2.5090 1.4486 9.2380
0.0000 -2.8971 9.2380
Ca Ac Ag Pb
2 1 2 2
direct
0.1366 0.1366 0.1366
0.8634 0.8634 0.8634
0.0000 0.0000 0.0000
0.4379 0.4379 0.4379
0.5621 0.5621 0.5621
0.2606 0.2606 0.2606
0.7394 0.7394 0.7394
```

Space-group type: No. 166
ΔE_f (meV per atom): -370

=====

Record 6
The following is a DFT calculation (PBE) of crystalline CsCd4Sn2 at its relaxed geometry.

```
CsCd4Sn2
1.0
4.9590 0.0000 0.0000
0.0000 17.1932 0.0000
0.0000 0.0000 4.8686
Cs Cd Sn
2 8 4
direct
0.0000 0.0000 0.0000
0.5000 0.5000 0.0000
0.0000 0.1890 0.5000
0.0000 0.3052 0.0000
0.0000 0.6948 0.0000
0.0000 0.8110 0.5000
0.5000 0.1948 0.0000
0.5000 0.3110 0.5000
0.5000 0.6890 0.5000
0.5000 0.8052 0.0000
0.0000 0.4060 0.5000
0.0000 0.5940 0.5000
0.5000 0.0940 0.5000
0.5000 0.9060 0.5000
```

Space-group type: No. 65
ΔE_f (meV per atom): -67

=====

Record 7
The following is a DFT calculation (PBE) of crystalline La4CuAu at its relaxed geometry.

```
La4CuAu
1.0
8.7031 0.0000 0.0000
0.0000 3.9393 0.0000
0.0000 0.0000 20.4913
La Cu Au
16 4 4
direct
0.0295 0.2500 0.0710
0.0522 0.7500 0.2242
0.1199 0.7500 0.6536
0.1625 0.7500 0.4365
0.3375 0.2500 0.9365
0.3801 0.2500 0.1536
0.4478 0.2500 0.7242
0.4705 0.7500 0.5710
0.5295 0.2500 0.4290
0.5522 0.7500 0.2758
0.6199 0.7500 0.8464
0.6625 0.7500 0.0635
0.8375 0.2500 0.5635
0.8801 0.2500 0.3464
0.9478 0.2500 0.7758
0.9705 0.7500 0.9290
0.2213 0.2500 0.5479
0.2787 0.7500 0.0479
0.7213 0.2500 0.9521
0.7787 0.7500 0.4521
0.2417 0.7500 0.8147
0.2583 0.2500 0.3147
0.7417 0.7500 0.6853
0.7583 0.2500 0.1853
```

Space-group type: No. 62
ΔE_f (meV per atom): -297
Excess energy over the best structure of this formula in the dataset (meV/atom): 0

=====

Density of states at the Fermi level? In order: 5.3 1.1 4.4 3.5 3.0 7.3 27.1 states/eV per cell.
VASP energy? In order: -5.306 -1.723 -2.808 -2.953 -3.403 -1.856 -4.811 eV per atom.